{"formula": "Ru2PbW", "functional": "GGA-PBE", "state": "optimized geometry", "e_form_ev_per_atom": 0.29, "m_tot_mub_per_atom": 0.00, "rho_g_cm3": 14.1, "vol_a3_per_atom": 17.42, "cell": [[-2.667, 0.977, 1.098], [-1.118, -2.826, -0.200], [2.355, -1.427, 6.990]], "species": ["Pb", "Ru", "Ru", "W"], "fractional_positions": [[0.500, 0.500, 0.750], [0.000, 0.000, 0.041], [0.000, 0.000, 0.459], [0.500, 0.500, 0.250]]}